Entry 1:
First-principles (GGA-PBE) data for an optimized crystal structure of Tl8In2Pb3, as listed in Alexandria.

Properties
As for the calculated density: 9.47 g/cm³. As for the energy: -2.65 eV per atom. The calculation puts the formation energy at 79 meV per atom. As for the space-group type: Cmmm. The relative energy among the computed polymorphs is 8 meV/atom.

a b c (Å): 5.310 9.318 9.318
angles (deg): 70.94 90.01 90.01
Atoms (fractional coordinates):
Tl1 0.000 0.146 0.146
Tl2 0.500 0.394 0.871
In1 0.500 0.249 0.249
Tl3 0.500 0.606 0.129
In2 0.500 0.751 0.751
Tl4 0.000 0.854 0.854
Pb1 0.000 0.232 0.768
Tl5 0.500 0.871 0.394
Pb2 0.000 0.768 0.232
Tl6 0.500 0.129 0.606
Tl7 0.000 0.382 0.382
Pb3 0.500 0.000 0.000
Tl8 0.000 0.618 0.618

Entry 2:
First-principles (GGA-PBE) data for an optimized crystal structure of La2PrY9, as listed in Alexandria.

Properties
As for the calculated density: 5.04 g/cm³. As for the energy: -6.04 eV per atom. The calculation puts the formation energy at 29 meV per atom. As for the space-group type: P4/mmm.

a b c (Å): 5.114 5.114 15.350
angles (deg): 90.00 90.00 90.00
Atoms (fractional coordinates):
La1 0.000 0.000 0.666
Y1 0.500 0.000 0.500
Y2 0.500 0.500 0.332
Y3 0.000 0.500 0.835
Pr1 0.000 0.000 0.000
Y4 0.500 0.500 0.000
La2 0.000 0.000 0.334
Y5 0.000 0.500 0.165
Y6 0.500 0.000 0.835
Y7 0.500 0.500 0.668
Y8 0.500 0.000 0.165
Y9 0.000 0.500 0.500

Entry 3:
First-principles (GGA-PBE) data for an optimized crystal structure of TiTlFe3, as listed in Alexandria.

Properties
As for the calculated density: 7.95 g/cm³. As for the energy: -6.09 eV per atom. The calculation puts the formation energy at 1044 meV per atom. As for the space-group type: Pm-3m. The relative energy among the computed polymorphs is 0 meV/atom.

a b c (Å): 4.443 4.443 4.443
angles (deg): 90.00 90.00 90.00
Each line ends with the local moment (μB).
Atoms (fractional coordinates):
Tl1 0.500 0.500 0.500  -0.02
Fe1 0.000 0.000 0.500  2.23
Fe2 0.500 0.000 0.000  1.89
Ti1 0.000 0.000 0.000  -0.85
Fe3 0.000 0.500 0.000  2.16